The following is a DFT calculation (PBE-GGA) of a relaxed structure of Li2NbB.

The structure in POSCAR format:
```
Li2NbB
1.0
-3.4343 -1.6908 1.2014
-3.5107 1.6855 -0.9644
-2.4076 -1.7712 -2.6762
Nb B Li
1 1 2
Direct
0.2500 0.2500 0.2500
0.5000 0.5000 0.5000
0.7500 0.7500 0.7500
0.0000 0.0000 0.0000
```

The total energy is -19.2 eV for the cell shown.